Compound: Hf4Zn5Co2
Source: Alexandria
Functional: PBE
Structure: relaxed

Structure (POSCAR):
```
Hf4Zn5Co2
1.0
-0.361 -2.343 -2.127
4.396 3.087 -4.148
6.245 -4.544 3.947
Zn Hf Co
5 4 2
Direct
0.000 0.195 0.154
0.000 0.447 0.688
0.000 0.805 0.846
0.000 0.553 0.312
0.000 0.500 0.000
0.500 0.769 0.551
0.500 0.231 0.449
0.500 0.839 0.143
0.500 0.161 0.857
0.000 0.934 0.359
0.000 0.066 0.641
```

Properties
ρ	10.276	g/cm³
E_tot	-0.21151	Ha/atom
calculated formation energy	-0.26	eV/atom

Compound: HfZn8Co4
Source: Alexandria
Functional: PBE
Structure: relaxed

Structure (POSCAR):
```
HfZn8Co4
1.0
4.617 0.000 1.856
2.308 5.997 0.928
0.072 0.000 6.492
Co Zn Hf
4 8 1
Direct
0.000 0.000 0.500
0.500 0.500 0.000
0.000 0.500 0.000
0.500 0.000 0.500
0.337 0.663 0.663
0.718 0.782 0.782
0.500 0.782 0.218
0.663 0.337 0.337
0.000 0.337 0.663
0.000 0.663 0.337
0.282 0.218 0.218
0.500 0.218 0.782
0.000 0.000 0.000
```

Properties
ρ	8.700	g/cm³
E_tot	-0.14087	Ha/atom
calculated formation energy	-0.10	eV/atom

Compound: HfZnCo2
Source: Alexandria
Functional: PBE
Structure: relaxed

Structure (POSCAR):
```
HfZnCo2
1.0
6.574 0.000 0.000
0.000 6.574 0.000
3.287 3.287 2.732
Co Zn Hf
4 2 2
Direct
0.875 0.860 0.750
0.375 0.390 0.750
0.610 0.125 0.250
0.140 0.625 0.250
0.250 0.750 0.500
0.500 0.500 0.000
0.750 0.250 0.500
0.000 0.000 0.000
```

Properties
ρ	10.176	g/cm³
E_tot	-0.22543	Ha/atom
calculated formation energy	0.23	eV/atom

Compound: Hf3Zn2Co4
Source: Alexandria
Functional: PBE
Structure: relaxed

Structure (POSCAR):
```
Hf3Zn2Co4
1.0
-0.255 1.347 3.779
-3.808 -2.570 -1.480
4.089 -6.126 2.459
Co Hf Zn
4 3 2
Direct
0.283 0.566 0.917
0.919 0.839 0.374
0.717 0.434 0.083
0.081 0.161 0.626
0.000 0.000 0.000
0.627 0.254 0.379
0.373 0.746 0.621
0.684 0.369 0.770
0.316 0.631 0.230
```

Properties
ρ	10.992	g/cm³
E_tot	-0.25768	Ha/atom
calculated formation energy	-0.25	eV/atom

Compound: Hf6Zn3Co
Source: Alexandria
Functional: PBE
Structure: relaxed

Structure (POSCAR):
```
Hf6Zn3Co
1.0
-3.025 4.093 1.910
-4.445 -5.047 3.775
5.470 0.829 7.549
Zn Hf Co
6 12 2
Direct
0.385 0.114 0.255
0.000 0.000 0.500
0.115 0.614 0.245
0.500 0.500 0.000
0.615 0.886 0.745
0.885 0.386 0.755
0.892 0.666 0.552
0.154 0.053 0.764
0.590 0.186 0.561
0.108 0.334 0.448
0.910 0.686 0.939
0.410 0.814 0.439
0.654 0.447 0.264
0.846 0.947 0.236
0.608 0.166 0.948
0.392 0.834 0.052
0.346 0.553 0.736
0.090 0.314 0.061
0.000 0.000 0.000
0.500 0.500 0.500
```

Properties
ρ	11.227	g/cm³
E_tot	-0.25970	Ha/atom
calculated formation energy	0.00	eV/atom

Compound: Hf2Zn2Co3
Source: Alexandria
Functional: PBE
Structure: relaxed

Structure (POSCAR):
```
Hf2Zn2Co3
1.0
4.069 -0.078 -1.541
-2.272 3.737 0.003
-0.835 -0.516 7.260
Co Hf Zn
3 2 2
Direct
0.000 0.000 0.000
0.598 0.799 0.259
0.402 0.201 0.741
0.833 0.416 0.163
0.167 0.584 0.837
0.399 0.199 0.396
0.601 0.801 0.604
```

Properties
ρ	10.767	g/cm³
E_tot	-0.24003	Ha/atom
calculated formation energy	-0.28	eV/atom